1.
Material: CaMg2ScRh
Method: DFT, PBE
State: optimized geometry

## Properties
The formation energy comes out at -0.262 eV per atom. Its magnetization is 0.0 Bohr magnetons per cell. The total energy is -4.0365 eV/atom. As for the crystal system: tetragonal. The theoretical density is 3.052 g/cm³. As for the density of states at the Fermi level: 3.56 states/eV per cell.

```
data_CaMg2ScRh
_cell_length_a 5.140
_cell_length_b 5.140
_cell_length_c 4.871
_cell_angle_alpha 90.00
_cell_angle_beta 90.00
_cell_angle_gamma 90.00
_space_group_name_H-M_alt 'P 4/m m m'
_space_group_IT_number 123
_space_group_name_Hall '-P 4 2'
loop_
_atom_site_label
_atom_site_type_symbol
_atom_site_fract_x
_atom_site_fract_y
_atom_site_fract_z
_atom_site_occupancy
Ca1 Ca 0.000 0.000 0.000 1
Mg1 Mg 0.000 0.500 0.500 1
Sc1 Sc 0.500 0.500 0.000 1
Rh1 Rh 0.500 0.500 0.500 1
```


2.
Material: CaMg2SiRh
Method: DFT, PBE
State: optimized geometry

## Properties
Its magnetization is 0.0 Bohr magnetons per cell. Its formation energy without anion corrections is -0.302 eV/atom. The total energy is -3.8955 eV/atom. As for the crystal system: tetragonal. The theoretical density is 3.213 g/cm³. As for the density of states at the Fermi level: 3.84 states/eV per cell.

```
data_CaMg2SiRh
_cell_length_a 4.960
_cell_length_b 4.960
_cell_length_c 4.615
_cell_angle_alpha 90.00
_cell_angle_beta 90.00
_cell_angle_gamma 90.00
_space_group_name_H-M_alt 'P 4/m m m'
_space_group_IT_number 123
_space_group_name_Hall '-P 4 2'
loop_
_atom_site_label
_atom_site_type_symbol
_atom_site_fract_x
_atom_site_fract_y
_atom_site_fract_z
_atom_site_occupancy
Ca1 Ca 0.000 0.000 0.000 1
Mg1 Mg 0.000 0.500 0.500 1
Si1 Si 0.500 0.500 0.000 1
Rh1 Rh 0.500 0.500 0.500 1
```


3.
Material: Ca2Mg2Si4Rh
Method: DFT, PBE
State: optimized geometry

## Properties
Its magnetization is 0.0 Bohr magnetons per cell. Its formation energy without anion corrections is -0.367 eV/atom. The total energy is -4.3930 eV/atom. As for the crystal system: tetragonal. The theoretical density is 3.396 g/cm³. As for the density of states at the Fermi level: 5.70 states/eV per cell.

```
data_Ca2Mg2Si4Rh
_cell_length_a 6.077
_cell_length_b 6.077
_cell_length_c 9.110
_cell_angle_alpha 90.00
_cell_angle_beta 90.00
_cell_angle_gamma 90.00
_space_group_name_H-M_alt 'I 4/m m m'
_space_group_IT_number 139
_space_group_name_Hall '-I 4 2'
loop_
_atom_site_label
_atom_site_type_symbol
_atom_site_fract_x
_atom_site_fract_y
_atom_site_fract_z
_atom_site_occupancy
Ca1 Ca 0.000 0.500 0.250 1
Mg1 Mg 0.000 0.000 0.222 1
Si1 Si 0.213 0.213 0.000 1
Rh1 Rh 0.000 0.000 0.500 1
```


4.
Material: CaMg2SiRh2
Method: DFT, PBE
State: optimized geometry

## Properties
Its magnetization is 0.0 Bohr magnetons per cell. Its formation energy without anion corrections is -0.434 eV/atom. The total energy is -4.6539 eV/atom. As for the crystal system: tetragonal. The theoretical density is 4.262 g/cm³. As for the density of states at the Fermi level: 5.89 states/eV per cell.

```
data_CaMg2SiRh2
_cell_length_a 4.536
_cell_length_b 4.536
_cell_length_c 6.110
_cell_angle_alpha 90.00
_cell_angle_beta 90.00
_cell_angle_gamma 90.00
_space_group_name_H-M_alt 'P 4/m m m'
_space_group_IT_number 123
_space_group_name_Hall '-P 4 2'
loop_
_atom_site_label
_atom_site_type_symbol
_atom_site_fract_x
_atom_site_fract_y
_atom_site_fract_z
_atom_site_occupancy
Ca1 Ca 0.000 0.000 0.000 1
Mg1 Mg 0.500 0.500 0.249 1
Si1 Si 0.000 0.000 0.500 1
Rh1 Rh 0.000 0.500 0.500 1
```


5.
Material: CaSmMgRh
Method: DFT, PBE
State: optimized geometry

## Properties
The formation energy comes out at -0.248 eV per atom. Its magnetization is 0.0 Bohr magnetons per cell. The total energy is -4.1651 eV/atom. As for the crystal system: cubic. The theoretical density is 5.500 g/cm³. As for the density of states at the Fermi level: 16.79 states/eV per cell.

```
data_CaSmMgRh
_cell_length_a 7.266
_cell_length_b 7.266
_cell_length_c 7.266
_cell_angle_alpha 90.00
_cell_angle_beta 90.00
_cell_angle_gamma 90.00
_space_group_name_H-M_alt 'F -4 3 m'
_space_group_IT_number 216
_space_group_name_Hall 'F -4 2 3'
loop_
_atom_site_label
_atom_site_type_symbol
_atom_site_fract_x
_atom_site_fract_y
_atom_site_fract_z
_atom_site_occupancy
Ca1 Ca 0.000 0.000 0.000 1
Sm1 Sm 0.000 0.000 0.500 1
Mg1 Mg 0.250 0.250 0.250 1
Rh1 Rh 0.250 0.250 0.750 1
```


6.
Material: CaMgSnRh
Method: DFT, PBE
State: optimized geometry

## Properties
The formation energy comes out at -0.405 eV per atom. Its magnetization is 0.0 Bohr magnetons per cell. The total energy is -4.1424 eV/atom. As for the crystal system: cubic. The theoretical density is 5.947 g/cm³. As for the density of states at the Fermi level: 11.35 states/eV per cell.

```
data_CaMgSnRh
_cell_length_a 6.836
_cell_length_b 6.836
_cell_length_c 6.836
_cell_angle_alpha 90.00
_cell_angle_beta 90.00
_cell_angle_gamma 90.00
_space_group_name_H-M_alt 'F -4 3 m'
_space_group_IT_number 216
_space_group_name_Hall 'F -4 2 3'
loop_
_atom_site_label
_atom_site_type_symbol
_atom_site_fract_x
_atom_site_fract_y
_atom_site_fract_z
_atom_site_occupancy
Ca1 Ca 0.000 0.000 0.000 1
Mg1 Mg 0.250 0.250 0.250 1
Sn1 Sn 0.250 0.250 0.750 1
Rh1 Rh 0.000 0.000 0.500 1
```


7.
Material: Ca2MgSn2Rh5
Method: DFT, PBE
State: optimized geometry

## Properties
The formation energy comes out at -0.425 eV per atom. Its magnetization is 0.0 Bohr magnetons per cell. The total energy is -5.4616 eV/atom. As for the crystal system: tetragonal. The theoretical density is 7.435 g/cm³. As for the density of states at the Fermi level: 11.96 states/eV per cell.

```
data_Ca2MgSn2Rh5
_cell_length_a 10.407
_cell_length_b 10.407
_cell_length_c 3.532
_cell_angle_alpha 90.00
_cell_angle_beta 90.00
_cell_angle_gamma 90.00
_space_group_name_H-M_alt 'P 4/m b m'
_space_group_IT_number 127
_space_group_name_Hall '-P 4 2ab'
loop_
_atom_site_label
_atom_site_type_symbol
_atom_site_fract_x
_atom_site_fract_y
_atom_site_fract_z
_atom_site_occupancy
Ca1 Ca 0.169 0.331 0.000 1
Mg1 Mg 0.000 0.000 0.000 1
Sn1 Sn 0.132 0.632 0.000 1
Rh1 Rh 0.000 0.500 0.500 1
Rh2 Rh 0.063 0.806 0.500 1
```


8.
Material: CaTb2MgRh4
Method: DFT, PBE
State: optimized geometry

## Properties
The formation energy comes out at -0.650 eV per atom. Its magnetization is 0.0 Bohr magnetons per cell. The total energy is -5.9330 eV/atom. As for the crystal system: trigonal. The theoretical density is 8.716 g/cm³. As for the density of states at the Fermi level: 9.42 states/eV per cell.

```
data_CaTb2MgRh4
_cell_length_a 4.7309
_cell_length_b 4.7309
_cell_length_c 23.4080
_cell_angle_alpha 90.00
_cell_angle_beta 90.00
_cell_angle_gamma 120.00
_space_group_name_H-M_alt 'R -3 m'
_space_group_IT_number 166
_space_group_name_Hall '-R 3 2"'
loop_
_atom_site_label
_atom_site_type_symbol
_atom_site_fract_x
_atom_site_fract_y
_atom_site_fract_z
_atom_site_occupancy
Ca1 Ca 0.0000 0.0000 0.0000 1
Tb1 Tb 0.0000 0.0000 0.2469 1
Mg1 Mg 0.0000 0.0000 0.5000 1
Rh1 Rh 0.0000 0.0000 0.1279 1
Rh2 Rh 0.0000 0.0000 0.3792 1
```


9.
Material: CaMg2TlRh
Method: DFT, PBE
State: optimized geometry

## Properties
The formation energy comes out at -0.192 eV per atom. Its magnetization is 0.0 Bohr magnetons per cell. The total energy is -3.1741 eV/atom. As for the crystal system: tetragonal. For the relative energy among the computed polymorphs, the calculation gives 0.000 kcal/mol of atoms. The theoretical density is 5.032 g/cm³. As for the density of states at the Fermi level: 3.03 states/eV per cell.

```
data_CaMg2TlRh
_cell_length_a 4.986
_cell_length_b 4.986
_cell_length_c 5.256
_cell_angle_alpha 90.00
_cell_angle_beta 90.00
_cell_angle_gamma 90.00
_space_group_name_H-M_alt 'P 4/m m m'
_space_group_IT_number 123
_space_group_name_Hall '-P 4 2'
loop_
_atom_site_label
_atom_site_type_symbol
_atom_site_fract_x
_atom_site_fract_y
_atom_site_fract_z
_atom_site_occupancy
Ca1 Ca 0.000 0.000 0.000 1
Mg1 Mg 0.000 0.500 0.500 1
Tl1 Tl 0.500 0.500 0.000 1
Rh1 Rh 0.500 0.500 0.500 1
```


10.
Material: CaMgTlRh
Method: DFT, PBE
State: optimized geometry

## Properties
The formation energy comes out at -0.206 eV per atom. Its magnetization is 0.0 Bohr magnetons per cell. The total energy is -3.5343 eV/atom. As for the crystal system: cubic. The theoretical density is 7.224 g/cm³. As for the density of states at the Fermi level: 9.14 states/eV per cell.

```
data_CaMgTlRh
_cell_length_a 6.991
_cell_length_b 6.991
_cell_length_c 6.991
_cell_angle_alpha 90.00
_cell_angle_beta 90.00
_cell_angle_gamma 90.00
_space_group_name_H-M_alt 'F -4 3 m'
_space_group_IT_number 216
_space_group_name_Hall 'F -4 2 3'
loop_
_atom_site_label
_atom_site_type_symbol
_atom_site_fract_x
_atom_site_fract_y
_atom_site_fract_z
_atom_site_occupancy
Ca1 Ca 0.000 0.000 0.000 1
Mg1 Mg 0.000 0.000 0.500 1
Tl1 Tl 0.250 0.250 0.250 1
Rh1 Rh 0.250 0.250 0.750 1
```